Computed, not measured: an optimized crystal structure of Si2PAu2 at the GGA-PBE level of DFT.

POSCAR file:
```
Si2PAu2
1.0
7.7178 0.0000 0.0000
0.0000 7.7178 0.0000
0.0000 0.0000 2.9312
Si P Au
4 2 4
direct
0.1146 0.3854 0.0000 Si
0.3854 0.8854 0.0000 Si
0.6146 0.1146 0.0000 Si
0.8854 0.6146 0.0000 Si
0.0000 0.0000 0.5000 P
0.5000 0.5000 0.5000 P
0.1882 0.6882 0.5000 Au
0.3118 0.1882 0.5000 Au
0.6882 0.8118 0.5000 Au
0.8118 0.3118 0.5000 Au
```

Values from the calculation:
Polymorph energy (0 for the lowest one) in eV/atom: 0.016
Energy relative to the elements, uncorrected in eV/atom: 0.432